A:
OsS2N2, optimized geometry, DFT PBE; theoretical density = 8.5 g/cm3; spin magnetization = 0.00 μB/f.u.
1.0
-3.000 -0.816 1.693
-1.619 -0.496 -3.108
1.189 -4.247 0.059
N Os S
2 1 2
Cartesian
-0.810 -0.248 -1.554
-1.500 -0.408 0.847
-1.715 -2.780 -0.678
0.594 -2.124 0.030
0.000 0.000 0.000

B:
OsS2N2, optimized geometry, DFT PBE; theoretical density = 8.5 g/cm3; spin magnetization = 0.00 μB/f.u.
1.0
-1.876 -2.303 2.426
3.150 -0.282 2.169
-1.100 2.988 1.986
S N Os
2 2 1
Cartesian
1.575 -0.141 1.084
-0.938 -1.151 1.213
0.000 0.000 0.000
-0.550 1.494 0.993
0.087 0.202 3.290

Least stable structure: B

A:
OsS2N2, optimized geometry, DFT PBE; theoretical density = 6.3 g/cm3; spin magnetization = 0.00 μB/f.u.
1.0
-3.241 -1.438 1.157
0.438 -2.871 -2.341
2.585 -2.736 3.839
S N Os
2 2 1
Cartesian
-0.109 -3.522 1.328
1.292 -1.368 1.919
0.219 -1.435 -1.170
-1.620 -0.719 0.579
0.000 0.000 0.000

B:
OsS2N2, optimized geometry, DFT PBE; theoretical density = 5.6 g/cm3; spin magnetization = 1.04 μB/f.u.
1.0
4.767 0.000 0.000
0.000 4.767 0.000
0.000 0.000 3.693
Os N S
1 2 2
Cartesian
0.000 0.000 0.000
0.000 0.000 1.846
2.384 2.384 1.846
0.000 2.384 0.000
2.384 0.000 0.000

Least stable structure: B

A:
OsS3N, optimized geometry, DFT PBE; theoretical density = 7.9 g/cm3; spin magnetization = 0.00 μB/f.u.
1.0
3.990 0.000 0.000
0.000 3.990 0.000
0.000 0.000 3.990
Os S N
1 3 1
Cartesian
1.995 1.995 1.995
0.000 0.000 1.995
1.995 0.000 0.000
0.000 1.995 0.000
0.000 0.000 0.000

B:
OsS3N, optimized geometry, DFT PBE; theoretical density = 5.0 g/cm3; spin magnetization = 2.13 μB/f.u.
1.0
-2.773 -1.486 3.390
-0.334 -4.118 -2.078
3.686 -1.491 2.362
S N Os
3 1 1
Cartesian
1.843 -0.745 1.181
-0.167 -2.059 -1.039
-1.386 -0.743 1.695
0.290 -3.547 1.837
0.000 0.000 0.000

Least stable structure: B

A:
ScOsSN2, optimized geometry, DFT PBE; theoretical density = 6.1 g/cm3; spin magnetization = 3.44 μB/f.u.
1.0
3.951 0.000 0.000
0.000 3.951 0.000
0.000 0.000 5.161
Sc N Os S
1 2 1 1
Cartesian
0.000 0.000 0.000
1.976 0.000 0.000
0.000 1.976 0.000
1.976 1.976 2.581
0.000 0.000 2.581

B:
ScOsSN2, optimized geometry, DFT PBE; theoretical density = 6.8 g/cm3; spin magnetization = 0.00 μB/f.u.
1.0
3.817 0.000 0.000
0.000 3.817 0.000
0.000 0.000 4.953
Sc S N Os
1 1 2 1
Cartesian
1.908 1.908 2.476
0.000 0.000 2.476
1.908 0.000 0.000
0.000 1.908 0.000
0.000 0.000 0.000

Least stable structure: A

A:
OsSeS2N, optimized geometry, DFT PBE; theoretical density = 7.3 g/cm3; spin magnetization = 0.61 μB/f.u.
1.0
-1.851 -2.718 3.469
2.746 -3.654 -1.397
2.490 1.049 2.150
S Se N Os
2 1 1 1
Cartesian
1.373 -1.827 -0.699
-0.926 -1.359 1.735
0.000 0.000 0.000
1.245 0.524 1.075
1.692 -2.662 2.111

B:
OsSeS2N, optimized geometry, DFT PBE; theoretical density = 6.8 g/cm3; spin magnetization = 0.00 μB/f.u.
1.0
4.792 0.000 0.000
0.000 4.792 0.000
0.000 0.000 3.697
Os S Se N
1 2 1 1
Cartesian
0.000 0.000 0.000
0.000 2.396 0.000
2.396 0.000 0.000
2.396 2.396 1.848
0.000 0.000 1.848

Least stable structure: A

A:
SnOsS2N, optimized geometry, DFT PBE; theoretical density = 6.5 g/cm3; spin magnetization = 4.62 μB/f.u.
1.0
-4.102 -2.234 -1.856
2.307 -0.553 -4.431
1.376 -3.484 1.151
S Os Sn N
2 1 1 1
Cartesian
-2.051 -1.117 -0.928
1.153 -0.277 -2.216
-0.209 -3.135 -2.568
0.000 0.000 0.000
0.688 -1.742 0.576

B:
SnOsS2N, optimized geometry, DFT PBE; theoretical density = 7.1 g/cm3; spin magnetization = 0.00 μB/f.u.
1.0
-2.949 1.390 3.689
-2.418 -4.276 -0.322
2.350 -1.513 2.448
S Os N Sn
2 1 1 1
Cartesian
-1.474 0.695 1.845
-1.209 -2.138 -0.161
0.000 0.000 0.000
1.175 -0.757 1.224
-1.509 -2.200 2.908

Least stable structure: A